No. 1
Here is an optimized crystal structure of DyIn2GaCl6 from Alexandria. Energies are from PBE.

Summary:
formation energy from raw total energies: -1.39 eV/atom
DOS(E_F): 0.00 states/eV/f.u.
theoretical density: 3.4 g cm⁻³

a b c (Å): 7.6959 7.6959 19.3181
angles (deg): 90.00 90.00 120.00
With the nearest neighbours (Å) after each atom.
Space group R3 (No. 146, hexagonal axes)
One atom of each set of equivalent atoms:
Dy1 0.0000 0.0000 0.0000 (multiplicity 3)  6 Cl 2.63-2.68
In1 0.0000 0.0000 0.2126 (multiplicity 3)  6 Cl 3.20-3.32
In2 0.0000 0.0000 0.7054 (multiplicity 3)  6 Cl 3.21-3.24
Ga1 0.0000 0.0000 0.4911 (multiplicity 3)  6 Cl 2.94-3.13
Cl1 0.0413 0.6190 0.7539 (multiplicity 9)  1 Dy 2.68, 1 Ga 2.94
Cl2 0.0863 0.3455 0.5951 (multiplicity 9)  1 Dy 2.63

No. 2
Here is an optimized crystal structure of Cs2TeF7 from Alexandria. Energies are from PBE.

Summary:
formation energy from raw total energies: -2.21 eV/atom
DOS(E_F): 6.78 states/eV/f.u.
theoretical density: 3.9 g cm⁻³

a b c (Å): 9.6492 9.6492 9.6492
angles (deg): 90.00 90.00 90.00
With the nearest neighbours (Å) after each atom.
Space group Fm-3m (No. 225)
One atom of each set of equivalent atoms:
Cs1 0.2500 0.2500 0.2500 (multiplicity 8)  12 F 3.43
Te1 0.0000 0.0000 0.0000 (multiplicity 4)  6 F 2.03
F1 0.0000 0.0000 0.2106 (multiplicity 24)  1 Te 2.03
F2 0.0000 0.0000 0.5000 (multiplicity 4)  6 F 2.79

No. 3
Here is an optimized crystal structure of TbCeEr14 from Alexandria. Energies are from PBE.

Summary:
total energy: -4.6224 eV per atom
DOS(E_F): 20.81 states/eV/f.u.
theoretical density: 9.0 g cm⁻³

a b c (Å): 7.0192 7.0192 9.9329
angles (deg): 90.00 90.00 90.00
With the nearest neighbours (Å) after each atom.
Space group P4/mmm (No. 123)
One atom of each set of equivalent atoms:
Tb1 0.0000 0.0000 0.0000 (multiplicity 1)  12 Er 3.51-3.52
Ce1 0.5000 0.5000 0.0000 (multiplicity 1)  12 Er 3.51
Er1 0.0000 0.0000 0.5000 (multiplicity 1)  12 Er 3.51
Er2 0.0000 0.5000 0.0000 (multiplicity 2)  2 Ce 3.51, 2 Tb 3.51, 8 Er 3.52
Er3 0.0000 0.5000 0.5000 (multiplicity 2)  12 Er 3.51
Er4 0.2509 0.2509 0.2506 (multiplicity 8)  10 Er 3.50-3.52, 1 Ce 3.51, 1 Tb 3.52
Er5 0.5000 0.5000 0.5000 (multiplicity 1)  12 Er 3.50-3.51

No. 4
Here is an optimized crystal structure of CeSnHPt from Alexandria. Energies are from PBE.

Summary:
total energy: -5.6140 eV per atom
DOS(E_F): 4.70 states/eV/f.u.
theoretical density: 10.4 g cm⁻³

a b c (Å): 4.6895 4.6895 3.7958
angles (deg): 90.00 90.00 120.00
With the nearest neighbours (Å) after each atom.
Space group P-6m2 (No. 187)
One atom of each set of equivalent atoms:
Ce1 0.0000 0.0000 0.0000 (multiplicity 1)  3 H 2.71
Sn1 0.3333 0.6667 0.5000 (multiplicity 1)  3 Pt 2.71
H1 0.6667 0.3333 0.0000 (multiplicity 1)  2 Pt 1.90
Pt1 0.6667 0.3333 0.5000 (multiplicity 1)  2 H 1.90

No. 5
Here is an optimized crystal structure of Ba8Na2Au from Alexandria. Energies are from PBE.

Summary:
total energy: -2.0463 eV per atom
DOS(E_F): 11.61 states/eV/f.u.
theoretical density: 3.6 g cm⁻³

a b c (Å): 22.8601 4.6656 11.8702
angles (deg): 90.00 99.91 90.00
With the nearest neighbours (Å) after each atom.
Space group C2/m (No. 12)
One atom of each set of equivalent atoms:
Ba1 0.0065 0.0000 0.1967 (multiplicity 4)  2 Au 3.29
Ba2 0.0926 0.5000 0.5444 (multiplicity 4)  2 Na 3.93, 1 Ba 4.18
Ba3 0.1466 0.5000 0.0291 (multiplicity 4)  1 Au 3.31
Ba4 0.2078 0.0000 0.3534 (multiplicity 4)  2 Na 3.94, 2 Ba 4.35
Na1 0.1827 0.0000 0.7786 (multiplicity 4)  8 Ba 3.93-4.39
Au1 0.0000 0.5000 0.0000 (multiplicity 2)  6 Ba 3.29-3.31

No. 6
Here is an optimized crystal structure of SiGe2BSb from Alexandria. Energies are from PBE.

Summary:
formation energy from raw total energies: 1.95 eV/atom
DOS(E_F): 3.15 states/eV/f.u.
theoretical density: 3.4 g cm⁻³

a b c (Å): 5.3377 5.3377 5.1815
angles (deg): 90.00 90.00 90.00
With the nearest neighbours (Å) after each atom.
Space group P4/mmm (No. 123)
One atom of each set of equivalent atoms:
Si1 0.0000 0.0000 0.0000 (multiplicity 1)  2 Sb 2.59
Ge1 0.0000 0.5000 0.5000 (multiplicity 2)  2 Sb 2.67
B1 0.5000 0.5000 0.0000 (multiplicity 1)  8 Ge 3.72, 4 Si 3.77
Sb1 0.0000 0.0000 0.5000 (multiplicity 1)  2 Si 2.59, 4 Ge 2.67